# 1
This record from Alexandria describes Mg2Zn3Ir2 after structural relaxation. The functional is PBE.

The structure in POSCAR format:
```
Mg2Zn3Ir2
1.0
-2.4725 -0.7278 1.8863
0.1521 -3.4067 -3.8190
4.2199 -3.4073 4.2167
Ir Zn Mg
2 3 2
direct
0.4120 0.8240 0.2599
0.5880 0.1760 0.7401
0.7074 0.4149 0.1321
0.0000 0.0000 0.0000
0.2926 0.5851 0.8679
0.1277 0.2555 0.4261
0.8723 0.7445 0.5739
```

## Properties
Energy of formation ... -277.8 meV per atom
Energy above the most stable polymorph in this dataset ... 0.00 kcal/mol of atoms
Calculated volume ... 15.1 Å³ per atom

***

# 2
This record from Alexandria describes Cs2TlWI6 after structural relaxation. The functional is PBE.

The structure in POSCAR format:
```
Cs2TlWI6
1.0
-3.7356 -6.8706 3.8758
7.5624 -1.8989 3.9226
0.3263 -0.8233 8.6829
W I Tl Cs
1 6 1 2
direct
0.5000 0.5000 0.0000
0.2723 0.7277 0.0000
0.2723 0.2723 0.4554
0.7277 0.7277 0.0000
0.7277 0.7277 0.5446
0.2723 0.2723 0.0000
0.7277 0.2723 0.0000
0.0000 0.0000 0.0000
0.2500 0.7500 0.5000
0.7500 0.2500 0.5000
```

## Properties
E_form (uncorrected) ... -697 meV/atom
Calculated volume ... 47.0 Å³ per atom

***

# 3
This record from Alexandria describes HfZn2Hg after structural relaxation. The functional is PBE.

The structure in POSCAR format:
```
HfZn2Hg
1.0
7.4216 0.0000 0.0000
0.0000 7.4216 0.0000
3.7108 3.7108 2.9068
Hg Zn Hf
2 4 2
direct
0.7500 0.2500 0.5000
0.0000 0.0000 0.0000
0.3750 0.3639 0.7500
0.6361 0.1250 0.2500
0.8750 0.8861 0.7500
0.1139 0.6250 0.2500
0.5000 0.5000 0.0000
0.2500 0.7500 0.5000
```

## Properties
Energy of formation ... 198.3 meV per atom
Calculated volume ... 20.0 Å³ per atom

***

# 4
This record from Alexandria describes TmB3 after structural relaxation. The functional is PBE.

The structure in POSCAR format:
```
TmB3
1.0
3.5314 0.0000 0.0000
0.0000 3.5314 0.0000
-1.7657 -1.7657 4.1320
B Tm
3 1
direct
0.5000 0.5000 0.0000
0.3096 0.3096 0.6193
0.6904 0.6904 0.3807
0.0000 0.0000 0.0000
```

## Properties
Energy of formation ... 389.8 meV per atom
Calculated volume ... 12.9 Å³ per atom

***

# 5
This record from Alexandria describes Be2VPt after structural relaxation. The functional is PBE.

The structure in POSCAR format:
```
Be2VPt
1.0
2.7409 0.0000 0.0000
0.0000 2.7409 0.0000
0.0000 0.0000 6.0289
Pt Be V
1 2 1
direct
0.5000 0.5000 0.0000
0.0000 0.0000 0.2355
0.0000 0.0000 0.7645
0.5000 0.5000 0.5000
```

## Properties
Energy of formation ... -362.4 meV per atom
Energy above the most stable polymorph in this dataset ... 1.06 kcal/mol of atoms
Calculated volume ... 11.3 Å³ per atom

***

# 6
This record from Alexandria describes Zr2TlTe after structural relaxation. The functional is PBE.

The structure in POSCAR format:
```
Zr2TlTe
1.0
5.1578 0.0000 0.0000
0.0000 5.1608 0.0000
0.0000 0.0000 3.4647
Zr Te Tl
2 1 1
direct
0.0000 0.0000 0.0000
0.5000 0.5000 0.0000
0.5000 0.0000 0.5000
0.0000 0.5000 0.5000
```

## Properties
Energy above the most stable polymorph in this dataset ... 2.25 kcal/mol of atoms
E_form (uncorrected) ... -253 meV/atom
Calculated volume ... 23.1 Å³ per atom

***

# 7
This record from Alexandria describes RbPdI after structural relaxation. The functional is PBE.

The structure in POSCAR format:
```
RbPdI
1.0
-4.4122 1.0495 2.4687
-4.1713 1.4549 -2.6734
-4.0293 -3.1991 -0.4409
Rb I Pd
1 1 1
direct
0.2500 0.2500 0.2500
0.7500 0.7500 0.7500
0.5000 0.5000 0.5000
```

## Properties
Energy above the most stable polymorph in this dataset ... 7.76 kcal/mol of atoms
E_form (uncorrected) ... -336 meV/atom
Calculated volume ... 32.5 Å³ per atom

***

# 8
This record from Alexandria describes SrPu4In15 after structural relaxation. The functional is PBE.

The structure in POSCAR format:
```
SrPu4In15
1.0
4.6901 0.0000 0.0000
0.0000 4.6901 0.0000
0.0000 0.0000 23.5482
In Pu Sr
15 4 1
direct
0.5000 0.5000 0.2046
0.0000 0.5000 0.8937
0.5000 0.5000 0.7954
0.5000 0.0000 0.6968
0.0000 0.5000 0.6968
0.5000 0.0000 0.1063
0.5000 0.0000 0.5000
0.0000 0.5000 0.3032
0.5000 0.5000 0.0000
0.5000 0.5000 0.5984
0.5000 0.5000 0.4016
0.0000 0.5000 0.1063
0.5000 0.0000 0.3032
0.0000 0.5000 0.5000
0.5000 0.0000 0.8937
0.0000 0.0000 0.2044
0.0000 0.0000 0.7956
0.0000 0.0000 0.5985
0.0000 0.0000 0.4015
0.0000 0.0000 0.0000
```

## Properties
Energy of formation ... -233.4 meV per atom
Calculated volume ... 25.9 Å³ per atom

***

Look up the calculated volume of the eighth one.
25.9 Å³ per atom

***

What did the sixth record say?
This record from Alexandria describes Zr2TlTe after structural relaxation. The functional is PBE.

The structure in POSCAR format:
```
Zr2TlTe
1.0
5.1578 0.0000 0.0000
0.0000 5.1608 0.0000
0.0000 0.0000 3.4647
Zr Te Tl
2 1 1
direct
0.0000 0.0000 0.0000
0.5000 0.5000 0.0000
0.5000 0.0000 0.5000
0.0000 0.5000 0.5000
```

## Properties
Energy above the most stable polymorph in this dataset ... 2.25 kcal/mol of atoms
E_form (uncorrected) ... -253 meV/atom
Calculated volume ... 23.1 Å³ per atom